Here is an optimized crystal structure of Th2Al4CdAu3 from the Alexandria database. Energies are from PBE.

```
Th2Al4CdAu3
1.0
-3.894 -2.014 0.336
0.927 -1.101 4.154
-4.451 9.178 3.427
Th Al Cd Au
2 4 1 3
Direct
0.500 0.000 0.246
0.000 0.500 0.754
0.500 0.500 0.000
0.000 0.000 0.000
0.500 0.000 0.641
0.000 0.500 0.359
0.500 0.500 0.500
0.000 0.000 0.500
0.500 0.000 0.873
0.000 0.500 0.127
```

E = -46.58 eV/cell
Space-group type = P-4m2 (115)